(1)
Material: Zr3Br5
Method: DFT, PBE
State: relaxed

Properties
Crystal system: triclinic

```
data_Zr3Br5
_cell_length_a 7.138
_cell_length_b 8.555
_cell_length_c 9.322
_cell_angle_alpha 113.87
_cell_angle_beta 90.02
_cell_angle_gamma 114.61
_symmetry_space_group_name_H-M 'P 1'
_symmetry_Int_Tables_number 1
_symmetry_space_group_name_Hall 'P 1'
loop_
_atom_site_label
_atom_site_type_symbol
_atom_site_fract_x
_atom_site_fract_y
_atom_site_fract_z
Zr1 Zr 0.000 0.000 0.000
Zr2 Zr 0.056 0.649 0.880
Zr3 Zr 0.393 0.325 0.276
Zr4 Zr 0.462 0.000 0.000
Zr5 Zr 0.552 0.641 0.881
Zr6 Zr 0.896 0.329 0.270
Br1 Br 0.179 0.895 0.734
Br2 Br 0.201 0.940 0.213
Br3 Br 0.294 0.622 0.372
Br4 Br 0.406 0.349 0.583
Br5 Br 0.422 0.382 0.998
Br6 Br 0.683 0.904 0.757
Br7 Br 0.703 0.944 0.191
Br8 Br 0.790 0.622 0.372
Br9 Br 0.906 0.350 0.574
Br10 Br 0.926 0.390 0.995
```



(2)
Material: ZrBr
Method: DFT, PBE
State: relaxed

Properties
Polymorph energy (0 for the lowest one), eV/f.u.: 1.04
Crystal system: hexagonal

```
data_ZrBr
_cell_length_a 3.3900
_cell_length_b 3.3900
_cell_length_c 9.5575
_cell_angle_alpha 90.00
_cell_angle_beta 90.00
_cell_angle_gamma 120.00
_symmetry_space_group_name_H-M 'P 63 m c'
_symmetry_Int_Tables_number 186
_symmetry_space_group_name_Hall 'P 6c -2c'
loop_
_atom_site_label
_atom_site_type_symbol
_atom_site_fract_x
_atom_site_fract_y
_atom_site_fract_z
Zr1 Zr 0.3333 0.6667 0.0000
Br1 Br 0.3333 0.6667 0.7071
```



(3)
Material: ZrBr
Method: DFT, PBE
State: relaxed

Properties
Polymorph energy (0 for the lowest one), eV/f.u.: 0.54
Crystal system: orthorhombic

```
data_ZrBr
_cell_length_a 4.056
_cell_length_b 5.259
_cell_length_c 9.842
_cell_angle_alpha 90.00
_cell_angle_beta 90.00
_cell_angle_gamma 90.00
_symmetry_space_group_name_H-M 'C m m e'
_symmetry_Int_Tables_number 67
_symmetry_space_group_name_Hall '-C 2a 2'
loop_
_atom_site_label
_atom_site_type_symbol
_atom_site_fract_x
_atom_site_fract_y
_atom_site_fract_z
Zr1 Zr 0.000 0.250 0.117
Br1 Br 0.000 0.250 0.687
```



(4)
Material: ZrBr
Method: DFT, PBE
State: relaxed

Properties
Polymorph energy (0 for the lowest one), eV/f.u.: 1.14
Crystal system: orthorhombic

```
data_ZrBr
_cell_length_a 6.284
_cell_length_b 6.380
_cell_length_c 9.307
_cell_angle_alpha 90.00
_cell_angle_beta 90.00
_cell_angle_gamma 90.00
_symmetry_space_group_name_H-M 'P 21 21 21'
_symmetry_Int_Tables_number 19
_symmetry_space_group_name_Hall 'P 2ac 2ab'
loop_
_atom_site_label
_atom_site_type_symbol
_atom_site_fract_x
_atom_site_fract_y
_atom_site_fract_z
Zr1 Zr 0.064 0.146 0.273
Zr2 Zr 0.126 0.730 0.520
Br1 Br 0.151 0.488 0.789
Br2 Br 0.158 0.895 0.028
```



(5)
Material: ZrBr4
Method: DFT, PBE
State: relaxed

Properties
Crystal system: cubic

```
data_ZrBr4
_cell_length_a 5.319
_cell_length_b 5.319
_cell_length_c 5.319
_cell_angle_alpha 90.00
_cell_angle_beta 90.00
_cell_angle_gamma 90.00
_symmetry_space_group_name_H-M 'P m -3 m'
_symmetry_Int_Tables_number 221
_symmetry_space_group_name_Hall '-P 4 2 3'
loop_
_atom_site_label
_atom_site_type_symbol
_atom_site_fract_x
_atom_site_fract_y
_atom_site_fract_z
Zr1 Zr 0.000 0.000 0.000
Br1 Br 0.000 0.000 0.500
Br2 Br 0.500 0.500 0.500
```



(6)
Material: Zr4Br5
Method: DFT, PBE
State: relaxed

Properties
Polymorph energy (0 for the lowest one), eV/f.u.: 3.14
Crystal system: hexagonal

```
data_Zr4Br5
_cell_length_a 8.5655
_cell_length_b 8.5655
_cell_length_c 6.4972
_cell_angle_alpha 90.00
_cell_angle_beta 90.00
_cell_angle_gamma 120.00
_symmetry_space_group_name_H-M 'P 63/m c m'
_symmetry_Int_Tables_number 193
_symmetry_space_group_name_Hall '-P 6c 2'
loop_
_atom_site_label
_atom_site_type_symbol
_atom_site_fract_x
_atom_site_fract_y
_atom_site_fract_z
Zr1 Zr 0.0000 0.0000 0.0000
Zr2 Zr 0.0000 0.3230 0.2500
Br1 Br 0.0000 0.3077 0.7500
Br2 Br 0.3333 0.6667 0.0000
```



(7)
Material: ZrBr
Method: DFT, PBE
State: relaxed

Properties
Polymorph energy (0 for the lowest one), eV/f.u.: 1.21
Crystal system: monoclinic

```
data_ZrBr
_cell_length_a 3.344
_cell_length_b 5.223
_cell_length_c 5.128
_cell_angle_alpha 90.00
_cell_angle_beta 99.04
_cell_angle_gamma 90.00
_symmetry_space_group_name_H-M 'P 1 21/m 1'
_symmetry_Int_Tables_number 11
_symmetry_space_group_name_Hall '-P 2yb'
loop_
_atom_site_label
_atom_site_type_symbol
_atom_site_fract_x
_atom_site_fract_y
_atom_site_fract_z
Zr1 Zr 0.213 0.250 0.152
Br1 Br 0.190 0.750 0.379
```



(8)
Material: ZrBr5
Method: DFT, PBE
State: relaxed

Properties
Crystal system: monoclinic

```
data_ZrBr5
_cell_length_a 16.313
_cell_length_b 3.438
_cell_length_c 8.506
_cell_angle_alpha 90.00
_cell_angle_beta 94.13
_cell_angle_gamma 90.00
_symmetry_space_group_name_H-M 'C 1 m 1'
_symmetry_Int_Tables_number 8
_symmetry_space_group_name_Hall 'C -2y'
loop_
_atom_site_label
_atom_site_type_symbol
_atom_site_fract_x
_atom_site_fract_y
_atom_site_fract_z
Zr1 Zr 0.000 0.000 0.000
Br1 Br 0.072 0.500 0.215
Br2 Br 0.089 0.500 0.828
Br3 Br 0.222 0.000 0.523
Br4 Br 0.387 0.000 0.861
Br5 Br 0.387 0.500 0.216
```



Number 1: E -5.163 eV per atom, density of states at the Fermi level 2.6 states/eV/f.u., formation energy without anion corrections -0.9119 eV/atom. Number 2: E -5.578 eV per atom, density of states at the Fermi level 1.8 states/eV/f.u., formation energy without anion corrections -0.4676 eV/atom. Number 3: E -5.831 eV per atom, density of states at the Fermi level 1.7 states/eV/f.u., formation energy without anion corrections -0.7209 eV/atom. Number 4: E -5.528 eV per atom, density of states at the Fermi level 1.3 states/eV/f.u., formation energy without anion corrections -0.4172 eV/atom. Number 5: E -3.848 eV per atom, density of states at the Fermi level 7.2 states/eV/f.u., formation energy without anion corrections -0.8002 eV/atom. Number 6: E -4.944 eV per atom, density of states at the Fermi level 9.7 states/eV/f.u., formation energy without anion corrections -0.2155 eV/atom. Number 7: E -5.496 eV per atom, density of states at the Fermi level 1.5 states/eV/f.u., formation energy without anion corrections -0.3854 eV/atom. Number 8: E -3.704 eV per atom, density of states at the Fermi level 5.2 states/eV/f.u., formation energy without anion corrections -0.8848 eV/atom.